DFT (PBE-GGA) results for crystalline Pr12NdSn4N3 at its relaxed geometry.

a b c (Å): 8.956 8.956 8.956
angles (deg): 109.47 109.47 109.47
Sites, in units of the cell vectors:
1 Pr 0.000 0.274 0.274
2 Pr 0.000 0.726 0.726
3 Pr 0.250 0.500 0.750
4 Pr 0.250 0.750 0.500
5 Pr 0.274 0.000 0.274
6 Pr 0.274 0.274 0.000
7 Pr 0.500 0.250 0.750
8 Pr 0.500 0.750 0.250
9 Pr 0.726 0.000 0.726
10 Pr 0.726 0.726 0.000
11 Pr 0.750 0.250 0.500
12 Pr 0.750 0.500 0.250
13 Nd 0.000 0.000 0.000
14 Sn 0.000 0.000 0.500
15 Sn 0.000 0.500 0.000
16 Sn 0.500 0.000 0.000
17 Sn 0.500 0.500 0.500
18 N 0.000 0.500 0.500
19 N 0.500 0.000 0.500
20 N 0.500 0.500 0.000

Summary:
Raw total energy in Ry/atom: -0.417
ΔE_f (raw) in eV/f.u.: -10.26